Computed, not measured: a relaxed structure of Rb2PuHgO6 at the PBE-GGA level of DFT.

Results
Space-group type: Cm (8)
Formation energy from raw total energies (eV/f.u.): -16.65

```
data_Rb2PuHgO6
_symmetry_space_group_name_H-M 'P 1'
_symmetry_Int_Tables_number 1
_cell_length_a 6.3001
_cell_length_b 6.8638
_cell_length_c 6.3708
_cell_angle_alpha 56.70
_cell_angle_beta 65.60
_cell_angle_gamma 56.70
loop_
_symmetry_equiv_pos_as_xyz
'x,y,z'
loop_
_atom_site_label
_atom_site_fract_x
_atom_site_fract_y
_atom_site_fract_z
Rb1 0.5532 0.5532 0.3145
Rb2 0.0792 0.0791 0.7886
Pu1 0.3161 0.3163 0.0516
Hg1 0.8165 0.8158 0.5513
O1 0.5150 0.1172 0.3732
O2 0.1188 0.1204 0.2474
O3 0.0733 0.5589 0.1882
O4 0.5116 0.5138 0.8543
O5 0.5599 0.0726 0.9166
O6 0.1179 0.5143 0.7296
```

---

Computed, not measured: a relaxed structure of Ca2NbCoW at the PBE-GGA level of DFT.

Results
Space-group type: P4/mmm (123)
Raw total energy (eV/cell): -25.93

```
data_Ca2NbCoW
_symmetry_space_group_name_H-M 'P 1'
_symmetry_Int_Tables_number 1
_cell_length_a 5.6578
_cell_length_b 4.6920
_cell_length_c 5.6578
_cell_angle_alpha 90.00
_cell_angle_beta 90.00
_cell_angle_gamma 90.00
loop_
_symmetry_equiv_pos_as_xyz
'x,y,z'
loop_
_atom_site_label
_atom_site_fract_x
_atom_site_fract_y
_atom_site_fract_z
Nb1 0.0000 0.5000 0.0000
Co1 0.5000 0.5000 0.5000
Ca1 0.0000 0.0000 0.5000
Ca2 0.5000 0.0000 0.0000
W1 0.0000 0.0000 0.0000
```

---

Computed, not measured: a relaxed structure of PmNdSbI at the PBE-GGA level of DFT.

Results
Space-group type: F-43m (216)
Formation energy from raw total energies (eV/f.u.): -3.84

```
data_PmNdSbI
_symmetry_space_group_name_H-M 'P 1'
_symmetry_Int_Tables_number 1
_cell_length_a 5.5033
_cell_length_b 5.5033
_cell_length_c 5.5033
_cell_angle_alpha 60.00
_cell_angle_beta 60.00
_cell_angle_gamma 60.00
loop_
_symmetry_equiv_pos_as_xyz
'x,y,z'
loop_
_atom_site_label
_atom_site_fract_x
_atom_site_fract_y
_atom_site_fract_z
I1 0.0000 0.0000 0.0000
Sb1 0.5000 0.5000 0.5000
Nd1 0.7500 0.7500 0.7500
Pm1 0.2500 0.2500 0.2500
```

---

Computed, not measured: a relaxed structure of RbCdSbI2 at the PBE-GGA level of DFT.

Results
Space-group type: P4/mmm (123)
Formation energy from raw total energies (eV/f.u.): 1.54
Energy relative to the lowest polymorph listed for this composition (meV/atom): 683

```
data_RbCdSbI2
_symmetry_space_group_name_H-M 'P 1'
_symmetry_Int_Tables_number 1
_cell_length_a 6.8661
_cell_length_b 6.8661
_cell_length_c 7.5904
_cell_angle_alpha 90.00
_cell_angle_beta 90.00
_cell_angle_gamma 90.00
loop_
_symmetry_equiv_pos_as_xyz
'x,y,z'
loop_
_atom_site_label
_atom_site_fract_x
_atom_site_fract_y
_atom_site_fract_z
I1 0.0000 0.5000 0.0000
I2 0.5000 0.0000 0.0000
Sb1 0.0000 0.0000 0.5000
Rb1 0.0000 0.0000 0.0000
Cd1 0.5000 0.5000 0.5000
```

---

Computed, not measured: a relaxed structure of BeTlIn2 at the PBE-GGA level of DFT.

Results
Space-group type: R3m (160)
Energy relative to the lowest polymorph listed for this composition (meV/atom): 80

```
data_BeTlIn2
_symmetry_space_group_name_H-M 'P 1'
_symmetry_Int_Tables_number 1
_cell_length_a 8.9481
_cell_length_b 8.9481
_cell_length_c 8.9481
_cell_angle_alpha 22.64
_cell_angle_beta 22.64
_cell_angle_gamma 22.64
loop_
_symmetry_equiv_pos_as_xyz
'x,y,z'
loop_
_atom_site_label
_atom_site_fract_x
_atom_site_fract_y
_atom_site_fract_z
Be1 0.2518 0.2518 0.2518
Tl1 0.5148 0.5148 0.5148
In1 0.9853 0.9853 0.9853
In2 0.7481 0.7481 0.7481
```

---

Computed, not measured: a relaxed structure of AgTeOs2 at the PBE-GGA level of DFT.

Results
Space-group type: Pm (6)
Formation energy from raw total energies (eV/f.u.): 2.20

```
data_AgTeOs2
_symmetry_space_group_name_H-M 'P 1'
_symmetry_Int_Tables_number 1
_cell_length_a 3.5712
_cell_length_b 2.8500
_cell_length_c 8.1668
_cell_angle_alpha 69.68
_cell_angle_beta 90.00
_cell_angle_gamma 90.00
loop_
_symmetry_equiv_pos_as_xyz
'x,y,z'
loop_
_atom_site_label
_atom_site_fract_x
_atom_site_fract_y
_atom_site_fract_z
Te1 0.0000 0.1544 0.4736
Os1 0.0000 0.0856 0.0391
Os2 0.5000 0.4331 0.1917
Ag1 0.5000 0.8268 0.7955
```

---

Computed, not measured: a relaxed structure of Nd8Y2Er at the PBE-GGA level of DFT.

Results
Space-group type: C2/m (12)
Energy relative to the lowest polymorph listed for this composition (meV/atom): 123

```
data_Nd8Y2Er
_symmetry_space_group_name_H-M 'P 1'
_symmetry_Int_Tables_number 1
_cell_length_a 6.0058
_cell_length_b 9.1937
_cell_length_c 9.5223
_cell_angle_alpha 61.14
_cell_angle_beta 74.42
_cell_angle_gamma 56.18
loop_
_symmetry_equiv_pos_as_xyz
'x,y,z'
loop_
_atom_site_label
_atom_site_fract_x
_atom_site_fract_y
_atom_site_fract_z
Nd1 0.8180 0.0983 0.2360
Nd2 0.8180 0.3344 0.7640
Nd3 0.2962 0.4226 0.0000
Nd4 0.5000 0.7952 0.4096
Nd5 0.5000 0.2048 0.5904
Nd6 0.7038 0.5774 0.0000
Nd7 0.1820 0.6656 0.2360
Nd8 0.1820 0.9017 0.7640
Y1 0.0000 0.3101 0.3798
Y2 0.0000 0.6899 0.6202
Er1 0.5000 0.0000 0.0000
```

---

Computed, not measured: a relaxed structure of K2SnBi2O6 at the PBE-GGA level of DFT.

Results
Space-group type: C2/m (12)
Formation energy from raw total energies (eV/f.u.): -15.59

```
data_K2SnBi2O6
_symmetry_space_group_name_H-M 'P 1'
_symmetry_Int_Tables_number 1
_cell_length_a 6.0031
_cell_length_b 6.0031
_cell_length_c 6.7081
_cell_angle_alpha 98.61
_cell_angle_beta 98.61
_cell_angle_gamma 118.40
loop_
_symmetry_equiv_pos_as_xyz
'x,y,z'
loop_
_atom_site_label
_atom_site_fract_x
_atom_site_fract_y
_atom_site_fract_z
K1 0.8325 0.1675 0.0000
K2 0.1675 0.8325 0.0000
Sn1 0.0000 0.0000 0.5000
Bi1 0.3341 0.6659 0.5000
Bi2 0.6659 0.3341 0.5000
O1 0.7817 0.7817 0.6862
O2 0.0472 0.3612 0.6782
O3 0.2183 0.2183 0.3138
O4 0.3612 0.0472 0.6782
O5 0.9528 0.6388 0.3218
O6 0.6388 0.9528 0.3218
```